First-principles (PBE+U) data for a geometry-optimized VP2SF structure, as listed in Alexandria.

Unit cell a=3.986 b=3.986 c=5.500 alpha=90.00 beta=90.00 gamma=90.00
Positions (direct):
P: 0.000 0.500 0.000
P: 0.500 0.000 0.000
S: 0.000 0.000 0.500
F: 0.000 0.000 0.000
V: 0.500 0.500 0.500

Summary:
Space-group type: No. 123
Polymorph energy (0 for the lowest one) (kJ/mol of formula units): 128
Total magnetization (μB/f.u.): 2.515